Version A
YRe2Ir2: relaxed, PBE. Values from VASP.

Calculated values
symmetry: I4/mmm (139)

```
&SYSTEM
  ibrav = 0, nat = 5, ntyp = 3
/
ATOMIC_SPECIES
Y 88.91 Y.upf
Re 186.21 Re.upf
Ir 192.22 Ir.upf
ATOMIC_POSITIONS crystal
Y 0.000 0.000 0.000
Re 0.750 0.250 0.500
Re 0.250 0.750 0.500
Ir 0.393 0.393 0.215
Ir 0.607 0.607 0.785
CELL_PARAMETERS angstrom
-0.224 -1.200 3.814
2.697 -2.866 -0.743
5.480 1.600 2.927
```

=====

Version B
YRe2Ir2: relaxed, PBE. Values from VASP.

Calculated values
symmetry: P4/mbm (127)

```
&SYSTEM
  ibrav = 0, nat = 10, ntyp = 3
/
ATOMIC_SPECIES
Y 88.91 Y.upf
Re 186.21 Re.upf
Ir 192.22 Ir.upf
ATOMIC_POSITIONS crystal
Y 0.000 0.000 0.000
Y 0.500 0.500 0.000
Re 0.174 0.674 0.500
Re 0.674 0.826 0.500
Re 0.826 0.326 0.500
Re 0.326 0.174 0.500
Ir 0.378 0.878 0.000
Ir 0.878 0.622 0.000
Ir 0.622 0.122 0.000
Ir 0.122 0.378 0.000
CELL_PARAMETERS angstrom
-6.422 -3.417 -2.823
0.036 -5.010 5.983
-1.576 1.746 1.471
```

=====

Tell me which of them is the most stable. Sure, it is version A.

=====

Version A
ZnReIr2: relaxed, PBE. Values from VASP.

Calculated values
symmetry: C2/m (12)

```
&SYSTEM
  ibrav = 0, nat = 4, ntyp = 3
/
ATOMIC_SPECIES
Ir 192.22 Ir.upf
Re 186.21 Re.upf
Zn 65.41 Zn.upf
ATOMIC_POSITIONS crystal
Ir 0.000 0.000 0.000
Ir 0.500 0.000 0.500
Re 0.000 0.500 0.500
Zn 0.500 0.500 0.000
CELL_PARAMETERS angstrom
6.207 0.002 0.001
-2.492 3.986 -0.014
1.221 0.764 2.347
```

=====

Version B
ZnReIr2: relaxed, PBE. Values from VASP.

Calculated values
symmetry: I-42d (122)

```
&SYSTEM
  ibrav = 0, nat = 8, ntyp = 3
/
ATOMIC_SPECIES
Re 186.21 Re.upf
Zn 65.41 Zn.upf
Ir 192.22 Ir.upf
ATOMIC_POSITIONS crystal
Re 0.000 0.000 0.000
Re 0.750 0.250 0.500
Zn 0.500 0.500 0.000
Zn 0.250 0.750 0.500
Ir 0.638 0.125 0.250
Ir 0.112 0.625 0.250
Ir 0.375 0.362 0.750
Ir 0.875 0.888 0.750
CELL_PARAMETERS angstrom
5.819 0.000 0.000
0.000 5.819 0.000
2.910 2.910 5.155
```

=====

Version C
ZnReIr2: relaxed, PBE. Values from VASP.

Calculated values
symmetry: P4/mmm (123)

```
&SYSTEM
  ibrav = 0, nat = 4, ntyp = 3
/
ATOMIC_SPECIES
Re 186.21 Re.upf
Zn 65.41 Zn.upf
Ir 192.22 Ir.upf
ATOMIC_POSITIONS crystal
Re 0.500 0.500 0.250
Zn 0.500 0.500 0.750
Ir 0.000 0.000 0.003
Ir 0.000 0.000 0.497
CELL_PARAMETERS angstrom
2.789 0.000 0.000
0.000 2.789 0.000
0.000 0.000 7.431
```

=====

Version D
ZnReIr2: relaxed, PBE. Values from VASP.

Calculated values
symmetry: P4mm (99)

```
&SYSTEM
  ibrav = 0, nat = 4, ntyp = 3
/
ATOMIC_SPECIES
Ir 192.22 Ir.upf
Re 186.21 Re.upf
Zn 65.41 Zn.upf
ATOMIC_POSITIONS crystal
Ir 0.000 0.000 0.996
Ir 0.500 0.500 0.255
Re 0.000 0.000 0.494
Zn 0.500 0.500 0.754
CELL_PARAMETERS angstrom
2.752 0.000 0.000
0.000 2.752 0.000
0.000 0.000 7.681
```

=====

Tell me which of them is the most stable. Sure, it is version C.

=====

Version A
ZnRe3Ir: relaxed, PBE. Values from VASP.

Calculated values
symmetry: Pm-3m (221)

```
&SYSTEM
  ibrav = 0, nat = 5, ntyp = 3
/
ATOMIC_SPECIES
Re 186.21 Re.upf
Zn 65.41 Zn.upf
Ir 192.22 Ir.upf
ATOMIC_POSITIONS crystal
Re 0.000 0.500 0.000
Re 0.000 0.000 0.500
Re 0.500 0.000 0.000
Zn 0.500 0.500 0.500
Ir 0.000 0.000 0.000
CELL_PARAMETERS angstrom
4.726 0.000 0.000
0.000 4.726 0.000
0.000 0.000 4.726
```

=====

Version B
ZnRe3Ir: relaxed, PBE. Values from VASP.

Calculated values
symmetry: Pm-3m (221)

```
&SYSTEM
  ibrav = 0, nat = 5, ntyp = 3
/
ATOMIC_SPECIES
Re 186.21 Re.upf
Zn 65.41 Zn.upf
Ir 192.22 Ir.upf
ATOMIC_POSITIONS crystal
Re 0.000 0.500 0.000
Re 0.000 0.000 0.500
Re 0.500 0.000 0.000
Zn 0.000 0.000 0.000
Ir 0.500 0.500 0.500
CELL_PARAMETERS angstrom
-2.640 -1.793 3.039
3.214 0.343 2.995
-1.455 4.010 1.103
```

=====

Tell me which of them is the most stable. Sure, it is version B.

=====

Version A
Ir3Rh4: relaxed, PBE. Values from VASP.

Calculated values
symmetry: P6/mmm (191)

```
&SYSTEM
  ibrav = 0, nat = 7, ntyp = 2
/
ATOMIC_SPECIES
Ir 192.22 Ir.upf
Rh 102.91 Rh.upf
ATOMIC_POSITIONS crystal
Ir 0.000 0.500 0.000
Ir 0.500 0.500 0.000
Ir 0.500 0.000 0.000
Rh 0.000 0.000 0.255
Rh 0.000 0.000 0.745
Rh 0.667 0.333 0.500
Rh 0.333 0.667 0.500
CELL_PARAMETERS angstrom
-4.281 2.368 -1.414
1.124 -4.584 -1.911
-2.348 -2.084 3.618
```

=====

Version B
Ir3Rh4: relaxed, PBE. Values from VASP.

Calculated values
symmetry: I4/mmm (139)

```
&SYSTEM
  ibrav = 0, nat = 7, ntyp = 2
/
ATOMIC_SPECIES
Ir 192.22 Ir.upf
Rh 102.91 Rh.upf
ATOMIC_POSITIONS crystal
Ir 0.000 0.000 0.000
Ir 0.285 0.285 0.000
Ir 0.715 0.715 0.000
Rh 0.143 0.143 0.000
Rh 0.429 0.429 0.000
Rh 0.571 0.571 0.000
Rh 0.857 0.857 0.000
CELL_PARAMETERS angstrom
-1.657 1.657 9.388
1.657 -1.657 9.388
1.657 1.657 -9.388
```

=====

Version C
Ir3Rh4: relaxed, PBE. Values from VASP.

Calculated values
symmetry: C2/m (12)

```
&SYSTEM
  ibrav = 0, nat = 7, ntyp = 2
/
ATOMIC_SPECIES
Ir 192.22 Ir.upf
Rh 102.91 Rh.upf
ATOMIC_POSITIONS crystal
Ir 0.000 0.000 0.000
Ir 0.227 0.305 0.453
Ir 0.773 0.695 0.547
Rh 0.079 0.455 0.158
Rh 0.921 0.545 0.842
Rh 0.366 0.122 0.731
Rh 0.634 0.878 0.269
CELL_PARAMETERS angstrom
-1.320 2.225 0.832
-4.529 -0.913 -4.741
0.108 -3.800 5.892
```

=====

Tell me which of them is the most stable. Sure, it is version C.

=====

Version A
Ir5Rh3: relaxed, PBE. Values from VASP.

Calculated values
symmetry: P6_3/mcm (193)

```
&SYSTEM
  ibrav = 0, nat = 16, ntyp = 2
/
ATOMIC_SPECIES
Ir 192.22 Ir.upf
Rh 102.91 Rh.upf
ATOMIC_POSITIONS crystal
Ir 0.000 0.201 0.250
Ir 0.000 0.799 0.750
Ir 0.201 0.000 0.250
Ir 0.201 0.201 0.750
Ir 0.333 0.667 0.000
Ir 0.333 0.667 0.500
Ir 0.667 0.333 0.000
Ir 0.667 0.333 0.500
Ir 0.799 0.000 0.750
Ir 0.799 0.799 0.250
Rh 0.000 0.397 0.750
Rh 0.000 0.603 0.250
Rh 0.397 0.000 0.750
Rh 0.397 0.397 0.250
Rh 0.603 0.000 0.250
Rh 0.603 0.603 0.750
CELL_PARAMETERS angstrom
-6.104 4.203 -1.988
-0.744 -7.554 1.122
-0.971 0.785 4.640
```

=====

Version B
Ir5Rh3: relaxed, PBE. Values from VASP.

Calculated values
symmetry: C2/c (15)

```
&SYSTEM
  ibrav = 0, nat = 16, ntyp = 2
/
ATOMIC_SPECIES
Ir 192.22 Ir.upf
Rh 102.91 Rh.upf
ATOMIC_POSITIONS crystal
Ir 0.255 0.667 0.918
Ir 0.247 0.791 0.293
Ir 0.250 0.543 0.543
Ir 0.254 0.292 0.791
Ir 0.246 0.917 0.667
Ir 0.755 0.083 0.334
Ir 0.747 0.708 0.210
Ir 0.750 0.457 0.458
Ir 0.754 0.209 0.708
Ir 0.746 0.333 0.083
Rh 0.249 0.166 0.418
Rh 0.250 0.042 0.042
Rh 0.251 0.418 0.167
Rh 0.750 0.582 0.834
Rh 0.750 0.958 0.959
Rh 0.751 0.834 0.583
CELL_PARAMETERS angstrom
5.213 0.107 -0.106
2.752 6.715 -0.012
-2.753 -0.015 6.715
```

=====

Version C
Ir5Rh3: relaxed, PBE. Values from VASP.

Calculated values
symmetry: Cmmm (65)

```
&SYSTEM
  ibrav = 0, nat = 8, ntyp = 2
/
ATOMIC_SPECIES
Ir 192.22 Ir.upf
Rh 102.91 Rh.upf
ATOMIC_POSITIONS crystal
Ir 0.000 0.000 0.000
Ir 0.000 0.500 0.000
Ir 0.500 0.000 0.000
Ir 0.751 0.249 0.500
Ir 0.249 0.751 0.500
Rh 0.500 0.500 0.000
Rh 0.249 0.249 0.500
Rh 0.751 0.751 0.500
CELL_PARAMETERS angstrom
-4.149 3.360 -1.213
-2.495 -1.406 4.666
1.792 2.871 1.823
```

=====

Version D
Ir5Rh3: relaxed, PBE. Values from VASP.

Calculated values
symmetry: P4/mmm (123)

```
&SYSTEM
  ibrav = 0, nat = 8, ntyp = 2
/
ATOMIC_SPECIES
Ir 192.22 Ir.upf
Rh 102.91 Rh.upf
ATOMIC_POSITIONS crystal
Ir 0.000 0.000 0.251
Ir 0.500 0.500 0.626
Ir 0.500 0.500 0.374
Ir 0.000 0.000 0.749
Ir 0.000 0.000 0.000
Rh 0.500 0.500 0.124
Rh 0.500 0.500 0.876
Rh 0.000 0.000 0.500
CELL_PARAMETERS angstrom
-0.568 -2.651 -0.307
2.059 -0.236 -1.775
9.621 -3.407 11.613
```

=====

Tell me which of them is the most stable. Sure, it is version D.

=====

Version A
Ir2Rh3: relaxed, PBE. Values from VASP.

Calculated values
symmetry: Fdd2 (43)

```
&SYSTEM
  ibrav = 0, nat = 10, ntyp = 2
/
ATOMIC_SPECIES
Ir 192.22 Ir.upf
Rh 102.91 Rh.upf
ATOMIC_POSITIONS crystal
Ir 0.560 0.351 0.903
Ir 0.187 0.903 0.351
Ir 0.899 0.690 0.063
Ir 0.347 0.063 0.690
Rh 0.457 0.346 0.476
Rh 0.721 0.476 0.346
Rh 0.904 0.793 0.529
Rh 0.774 0.529 0.793
Rh 0.075 0.925 0.925
Rh 0.325 0.175 0.175
CELL_PARAMETERS angstrom
0.000 4.563 6.695
2.387 0.000 6.695
2.387 4.563 0.000
```

=====

Version B
Ir2Rh3: relaxed, PBE. Values from VASP.

Calculated values
symmetry: P-3m1 (164)

```
&SYSTEM
  ibrav = 0, nat = 5, ntyp = 2
/
ATOMIC_SPECIES
Ir 192.22 Ir.upf
Rh 102.91 Rh.upf
ATOMIC_POSITIONS crystal
Ir 0.667 0.333 0.132
Ir 0.333 0.667 0.868
Rh 0.000 0.000 0.000
Rh 0.667 0.333 0.622
Rh 0.333 0.667 0.378
CELL_PARAMETERS angstrom
2.124 -3.679 0.000
2.124 3.679 0.000
0.000 0.000 5.230
```

=====

Tell me which of them is the most stable. Sure, it is version A.